Record 1
First-principles (PBE) data for a relaxed structure of AgHgCl4, as listed in Alexandria.

As for the total energy: -26.44 eV for the cell shown. For the formation energy (no corrections), the calculation gives -0.45 eV per atom. Its energy above the most stable polymorph in this dataset is 0 meV/atom. The magnetization comes out at 1.575 μB/cell.

a = 7.7886 Å, b = 3.7858 Å, c = 13.7886 Å
α = 90.00°, β = 116.14°, γ = 90.00°
With the nearest neighbours (Å) after each atom.
Positions (direct):
1 Ag 0.0000 0.0000 0.0000  4 Cl 2.50-2.51
2 Ag 0.0000 0.5000 0.5000  4 Cl 2.50-2.51
3 Hg 0.5000 0.0000 0.5000  2 Cl 2.36
4 Hg 0.5000 0.5000 0.0000  2 Cl 2.36
5 Cl 0.0235 0.0014 0.3875  2 Ag 2.50-2.51
6 Cl 0.0235 0.4986 0.8875  2 Ag 2.50-2.51
7 Cl 0.4661 0.6184 0.6257  1 Hg 2.36
8 Cl 0.4661 0.8816 0.1257  1 Hg 2.36
9 Cl 0.5339 0.1184 0.8743  1 Hg 2.36
10 Cl 0.5339 0.3816 0.3743  1 Hg 2.36
11 Cl 0.9765 0.5014 0.1125  2 Ag 2.50-2.51
12 Cl 0.9765 0.9986 0.6125  2 Ag 2.50-2.51

Record 2
First-principles (PBE) data for a relaxed structure of AgHg3Cl8, as listed in Alexandria.

As for the total energy: -24.69 eV for the cell shown. For the formation energy (no corrections), the calculation gives -0.51 eV per atom. The magnetization comes out at 0.979 μB/cell.

a = 7.5790 Å, b = 7.7216 Å, c = 7.9364 Å
α = 115.95°, β = 109.68°, γ = 98.79°
With the nearest neighbours (Å) after each atom.
Positions (direct):
1 Ag 0.0000 0.0000 0.0000  4 Cl 2.48-2.52
2 Hg 0.0000 0.5000 0.0000  4 Cl 2.61-2.71
3 Hg 0.5000 0.0000 0.5000  2 Cl 2.38
4 Hg 0.5000 0.5000 0.5000  2 Cl 2.36
5 Cl 0.2261 0.7922 0.0016  1 Ag 2.52, 1 Hg 2.61
6 Cl 0.2321 0.2663 0.0038  1 Ag 2.48, 1 Hg 2.71
7 Cl 0.2345 0.7631 0.4712  1 Hg 2.38
8 Cl 0.2575 0.2764 0.5072  1 Hg 2.36
9 Cl 0.7425 0.7236 0.4928  1 Hg 2.36
10 Cl 0.7655 0.2369 0.5288  1 Hg 2.38
11 Cl 0.7679 0.7337 0.9962  1 Ag 2.48, 1 Hg 2.71
12 Cl 0.7739 0.2078 0.9984  1 Ag 2.52, 1 Hg 2.61

Record 3
First-principles (PBE) data for a relaxed structure of AgHgCl2, as listed in Alexandria.

As for the total energy: -7.83 eV for the cell shown. For the formation energy (no corrections), the calculation gives -0.25 eV per atom. Its energy above the most stable polymorph in this dataset is 93 meV/atom. The magnetization comes out at 0.000 μB/cell.

a = 3.9101 Å, b = 3.9101 Å, c = 8.6098 Å
α = 90.00°, β = 90.00°, γ = 120.69°
With the nearest neighbours (Å) after each atom.
Positions (direct):
1 Ag 0.0000 0.0000 0.0000  2 Cl 2.49, 2 Hg 2.78
2 Hg 0.5000 0.5000 0.7680  2 Cl 2.59, 2 Ag 2.78
3 Cl 0.0000 0.0000 0.5673  2 Hg 2.59
4 Cl 0.5000 0.5000 0.1816  2 Ag 2.49

Record 4
First-principles (PBE) data for a relaxed structure of AgHgCl2, as listed in Alexandria.

As for the total energy: -8.04 eV for the cell shown. For the formation energy (no corrections), the calculation gives -0.30 eV per atom. Its energy above the most stable polymorph in this dataset is 41 meV/atom. The magnetization comes out at 0.000 μB/cell.

a = 4.1271 Å, b = 4.1271 Å, c = 6.3316 Å
α = 91.82°, β = 91.82°, γ = 79.42°
With the nearest neighbours (Å) after each atom.
Positions (direct):
1 Ag 0.0000 0.0000 0.0000  2 Cl 2.64
2 Hg 0.5000 0.5000 0.5000  2 Cl 2.64
3 Cl 0.0000 0.0000 0.5000  2 Hg 2.64
4 Cl 0.5000 0.5000 0.0000  2 Ag 2.64

Record 5
First-principles (PBE) data for a relaxed structure of AgHgCl, as listed in Alexandria.

As for the total energy: -5.55 eV for the cell shown. For the formation energy (no corrections), the calculation gives -0.18 eV per atom. Its energy above the most stable polymorph in this dataset is 115 meV/atom. The magnetization comes out at 0.000 μB/cell.

a = 6.3241 Å, b = 6.3241 Å, c = 6.3241 Å
α = 148.46°, β = 148.46°, γ = 45.21°
With the nearest neighbours (Å) after each atom.
Positions (direct):
1 Ag 0.0000 0.0000 0.0000  4 Cl 2.84, 4 Hg 3.11
2 Hg 0.3336 0.3336 0.0000  4 Ag 3.11, 5 Cl 3.41-3.44, 4 Hg 3.44
3 Cl 0.6255 0.6255 0.0000  4 Ag 2.84

Record 6
First-principles (PBE) data for a relaxed structure of AgHgCl, as listed in Alexandria.

As for the total energy: -5.85 eV for the cell shown. For the formation energy (no corrections), the calculation gives -0.28 eV per atom. Its energy above the most stable polymorph in this dataset is 16 meV/atom. The magnetization comes out at 0.000 μB/cell.

a = 3.8646 Å, b = 3.8646 Å, c = 5.7855 Å
α = 90.00°, β = 90.00°, γ = 120.00°
With the nearest neighbours (Å) after each atom.
Positions (direct):
1 Ag 0.0000 0.0000 0.0000  3 Cl 2.71, 3 Hg 2.92
2 Hg 0.3333 0.6667 0.6745  3 Ag 2.92, 3 Cl 3.26
3 Cl 0.6667 0.3333 0.2646  3 Ag 2.71